Material: AlMoOs2
Method: DFT, PBE
State: relaxed

abc: 4.950 4.950 4.950
angles: 135.50 135.50 64.76
Fractional positions:
Mo: 0.750 0.250 0.500
Os: 0.000 0.000 0.000
Os: 0.250 0.750 0.500
Al: 0.500 0.500 0.000

Properties
DOS(E_F), states/eV per cell: 3.9
Energy of formation, eV/atom: -0.018
E_tot, eV per formula unit: -37.10